(1)
# BaZn2InHg | the Alexandria database | PBE-GGA | optimized geometry
data_BaZn2InHg
_chemical_formula_sum 'Ba1 Zn2 In1 Hg1'
_cell_length_a 6.106
_cell_length_b 6.106
_cell_length_c 6.371
_cell_angle_alpha 90.00
_cell_angle_beta 90.00
_cell_angle_gamma 90.00
_space_group_name_H-M_alt 'P 4/m m m'
_space_group_IT_number 123
_space_group_name_Hall '-P 4 2'
loop_
_atom_site_label
_atom_site_fract_x
_atom_site_fract_y
_atom_site_fract_z
Ba1 0.000 0.000 0.000
Zn1 0.000 0.500 0.000
In1 0.500 0.500 0.500
Hg1 0.000 0.000 0.500
# - ΔE to the lowest computed polymorph (meV/atom) = 0
# - DOS at the Fermi energy (states/eV/cell) = 8.38
# - energy of formation (meV per atom) = 656



(2)
# Ba2Zn3In4Hg | the Alexandria database | PBE-GGA | optimized geometry
data_Ba2Zn3In4Hg
_chemical_formula_sum 'Ba2 Zn3 In4 Hg1'
_cell_length_a 4.840
_cell_length_b 4.840
_cell_length_c 11.643
_cell_angle_alpha 90.00
_cell_angle_beta 90.00
_cell_angle_gamma 90.00
_space_group_name_H-M_alt 'P -4 m 2'
_space_group_IT_number 115
_space_group_name_Hall 'P -4 -2'
loop_
_atom_site_label
_atom_site_fract_x
_atom_site_fract_y
_atom_site_fract_z
Ba1 0.000 0.500 0.248
Zn1 0.000 0.000 0.000
Zn2 0.000 0.500 0.630
In1 0.000 0.000 0.500
In2 0.000 0.500 0.865
In3 0.500 0.500 0.500
Hg1 0.500 0.500 0.000
# - DOS at the Fermi energy (states/eV/cell) = 4.46
# - energy of formation (meV per atom) = -310



(3)
# Ba2ZnIn6Hg | the Alexandria database | PBE-GGA | optimized geometry
data_Ba2ZnIn6Hg
_chemical_formula_sum 'Ba12 Zn6 In36 Hg6'
_cell_length_a 7.2458
_cell_length_b 7.2458
_cell_length_c 41.0001
_cell_angle_alpha 90.00
_cell_angle_beta 90.00
_cell_angle_gamma 120.00
_space_group_name_H-M_alt 'R -3 m'
_space_group_IT_number 166
_space_group_name_Hall '-R 3 2"'
loop_
_atom_site_label
_atom_site_fract_x
_atom_site_fract_y
_atom_site_fract_z
Ba1 0.0000 0.0000 0.1056
Ba2 0.0000 0.0000 0.2782
Zn1 0.0000 0.0000 0.0000
Zn2 0.0000 0.0000 0.5000
In1 0.0504 0.5252 0.3031
In2 0.0547 0.5273 0.8632
Hg1 0.0000 0.0000 0.4253
# - DOS at the Fermi energy (states/eV/cell) = 21.74
# - energy of formation (meV per atom) = -206



(4)
# BaZn2InHg | the Alexandria database | PBE-GGA | optimized geometry
data_BaZn2InHg
_chemical_formula_sum 'Ba1 Zn2 In1 Hg1'
_cell_length_a 6.901
_cell_length_b 6.901
_cell_length_c 7.570
_cell_angle_alpha 90.00
_cell_angle_beta 90.00
_cell_angle_gamma 90.00
_space_group_name_H-M_alt 'P 4/m m m'
_space_group_IT_number 123
_space_group_name_Hall '-P 4 2'
loop_
_atom_site_label
_atom_site_fract_x
_atom_site_fract_y
_atom_site_fract_z
Ba1 0.000 0.000 0.000
Zn1 0.000 0.500 0.000
In1 0.000 0.000 0.500
Hg1 0.500 0.500 0.500
# - ΔE to the lowest computed polymorph (meV/atom) = 59
# - DOS at the Fermi energy (states/eV/cell) = 7.20
# - energy of formation (meV per atom) = 714